Record 1
Here is Ca2Ac4Pm3 after structural relaxation from Alexandria. Energies are from PBE-GGA.

Results
Calculated density ... 6.45 g cm⁻³
E_form ... 0.84 eV/f.u.
Calculated volume ... 40.7 A^3/atom

The structure in CIF format:
```
data_Ca2Ac4Pm3
_chemical_formula_sum 'Ca4 Ac8 Pm6'
_space_group_name_H-M_alt 'C 1 2/m 1'
_space_group_IT_number 12
_cell_length_a 31.5530
_cell_length_b 3.7918
_cell_length_c 6.2453
_cell_angle_alpha 90.00
_cell_angle_beta 101.34
_cell_angle_gamma 90.00
loop_
_space_group_symop_operation_xyz
'x,y,z'
'-x,-y,-z'
'-x,y,-z'
'x,-y,z'
'x+1/2,y+1/2,z'
'-x+1/2,-y+1/2,-z'
'-x+1/2,y+1/2,-z'
'x+1/2,-y+1/2,z'
loop_
_atom_site_label
_atom_site_type_symbol
_atom_site_fract_x
_atom_site_fract_y
_atom_site_fract_z
Ca1 Ca 0.1194 0.0000 0.1195
Ac1 Ac 0.0564 0.0000 0.5568
Ac2 Ac 0.2331 0.5000 0.2333
Pm1 Pm 0.0000 0.5000 0.0000
Pm2 Pm 0.1626 0.5000 0.6626
```

***

Record 2
Here is CaAc5Pm after structural relaxation from Alexandria. Energies are from PBE-GGA.

Results
Calculated density ... 6.85 g cm⁻³
E_form ... 1.62 eV/f.u.
Calculated volume ... 45.7 A^3/atom

The structure in CIF format:
```
data_CaAc5Pm
_chemical_formula_sum 'Ca1 Ac5 Pm1'
_space_group_name_H-M_alt 'P 4/m m m'
_space_group_IT_number 123
_space_group_name_Hall '-P 4 2'
_cell_length_a 5.8888
_cell_length_b 5.8888
_cell_length_c 9.2284
_cell_angle_alpha 90.00
_cell_angle_beta 90.00
_cell_angle_gamma 90.00
loop_
_atom_site_label
_atom_site_type_symbol
_atom_site_fract_x
_atom_site_fract_y
_atom_site_fract_z
Ca1 Ca 0.0000 0.0000 0.0000
Ac1 Ac 0.0000 0.5000 0.2845
Ac2 Ac 0.5000 0.5000 0.0000
Pm1 Pm 0.0000 0.0000 0.5000
```

***

Look up the E_form of the second one. 1.62 eV/f.u.